The following is a DFT calculation (PBE) of Mn2NbNi after structural relaxation.

a b c (Å): 5.390 5.390 5.390
angles (deg): 103.55 103.55 122.11
Fractional coordinates of all 8 atoms:
Mn 0.102 0.125 0.477
Mn 0.375 0.898 0.023
Mn 0.648 0.625 0.523
Mn 0.875 0.352 0.977
Nb 0.250 0.750 0.500
Nb 0.500 0.500 0.000
Ni 0.000 0.000 0.000
Ni 0.750 0.250 0.500

Calculated values
ρ in Mg/m³: 7.5
V in Å³/cell: 116.0
ΔE to the lowest computed polymorph in kJ/mol of formula units: 170

***

The following is a DFT calculation (PBE) of ScMn2 after structural relaxation.

a b c (Å): 3.202 3.202 4.588
angles (deg): 90.00 90.00 90.00
Fractional coordinates of all 3 atoms:
Sc 0.000 0.000 0.000
Mn 0.000 0.500 0.500
Mn 0.500 0.000 0.500

Calculated values
DFT total energy in eV/f.u.: -23.688
ρ in Mg/m³: 5.5
V in Å³/cell: 47.0

***

The following is a DFT calculation (PBE) of CeZrBiAu after structural relaxation.

a b c (Å): 5.227 5.227 5.227
angles (deg): 60.00 60.00 60.00
Fractional coordinates of all 4 atoms:
Ce 0.000 0.000 0.000
Zr 0.500 0.500 0.500
Bi 0.250 0.250 0.250
Au 0.750 0.750 0.750

Calculated values
DFT total energy in eV/f.u.: -23.174
ρ in Mg/m³: 10.5
V in Å³/cell: 101.0

***

The following is a DFT calculation (PBE) of RbAgB2H8 after structural relaxation.

a b c (Å): 7.296 7.296 7.296
angles (deg): 38.94 38.94 38.94
Fractional coordinates of all 12 atoms:
Rb 0.000 0.000 0.000
Ag 0.500 0.500 0.500
B 0.248 0.248 0.248
B 0.752 0.752 0.752
H 0.049 0.662 0.608
H 0.308 0.308 0.308
H 0.338 0.392 0.951
H 0.392 0.951 0.338
H 0.608 0.049 0.662
H 0.662 0.608 0.049
H 0.692 0.692 0.692
H 0.951 0.338 0.392

Calculated values
DFT total energy in eV/f.u.: -46.004
ρ in Mg/m³: 2.7
V in Å³/cell: 138.0